Entry 1:
Compound: EuPuZnIr
Source: the Alexandria database
Functional: PBE
Structure: optimized geometry

Calculated values
density	12.27	g cm⁻³
total magnetization	12.45	μB/f.u.
energy of formation from the pure elements	-0.93	eV per formula unit

Lattice parameters (Å, degrees): 5.001 5.001 5.001 60.00 60.00 60.00
Element x y z (fractional)
Eu 0.000 0.000 0.000
Pu 0.500 0.500 0.500
Zn 0.750 0.750 0.750
Ir 0.250 0.250 0.250

***

Entry 2:
Compound: Tb2PrYTe6
Source: the Alexandria database
Functional: PBE
Structure: optimized geometry

Calculated values
density	5.84	g cm⁻³
total magnetization	0.00	μB/f.u.
uncorrected formation energy	-1.375	eV/atom

Lattice parameters (Å, degrees): 8.393 8.393 8.393 55.40 55.40 55.40
Element x y z (fractional)
Tb 0.000 0.000 0.000
Tb 0.498 0.498 0.498
Pr 0.189 0.189 0.189
Y 0.686 0.686 0.686
Te 0.093 0.405 0.773
Te 0.277 0.890 0.607
Te 0.405 0.773 0.093
Te 0.607 0.277 0.890
Te 0.773 0.093 0.405
Te 0.890 0.607 0.277

***

Entry 3:
Compound: Pr8Tl6In
Source: the Alexandria database
Functional: PBE
Structure: optimized geometry

Calculated values
density	8.08	g cm⁻³
total magnetization	0.01	μB/f.u.
energy of formation from the pure elements	-3.20	eV per formula unit

Lattice parameters (Å, degrees): 8.462 8.462 8.462 68.72 68.72 68.72
Element x y z (fractional)
Pr 0.130 0.389 0.654
Pr 0.209 0.209 0.209
Pr 0.346 0.870 0.611
Pr 0.389 0.654 0.130
Pr 0.611 0.346 0.870
Pr 0.654 0.130 0.389
Pr 0.791 0.791 0.791
Pr 0.870 0.611 0.346
Tl 0.082 0.836 0.408
Tl 0.164 0.592 0.918
Tl 0.408 0.082 0.836
Tl 0.592 0.918 0.164
Tl 0.836 0.408 0.082
Tl 0.918 0.164 0.592
In 0.500 0.500 0.500

***

Entry 4:
Compound: CdIrRu3
Source: the Alexandria database
Functional: PBE
Structure: optimized geometry

Calculated values
density	9.64	g cm⁻³
total magnetization	0.55	μB/f.u.
energy of formation from the pure elements	7.71	eV per formula unit

Lattice parameters (Å, degrees): 4.713 4.713 4.713 90.00 90.00 90.00
Element x y z (fractional)
Cd 0.000 0.000 0.000
Ir 0.500 0.500 0.500
Ru 0.000 0.500 0.500
Ru 0.500 0.000 0.500
Ru 0.500 0.500 0.000

***

- The lowest total magnetization belongs to which entry?
  Tb2PrYTe6